DFT (GGA-PBE) results for crystalline TmPuTlHg at its relaxed geometry.

Summary:
The value obtained for the total energy is -5.587 eV per atom. The space group is No. 99. The size of the total moment is 6.113 μB per formula unit. As for the formation enthalpy at 0 K: -219.3 meV/atom.

Cell: 3.6571 3.6571 7.9161 Å, 90.00 90.00 90.00°
Sites, in units of the cell vectors:
Tm: 0.0000 0.0000 0.8455
Pu: 0.0000 0.0000 0.3634
Tl: 0.5000 0.5000 0.0929
Hg: 0.5000 0.5000 0.6262



DFT (GGA-PBE) results for crystalline TmPuTlHg at its relaxed geometry.

Summary:
The value obtained for the total energy is -5.564 eV per atom. The space group is No. 216. The size of the total moment is 6.254 μB per formula unit. As for the formation enthalpy at 0 K: -196.4 meV/atom.

Cell: 5.3224 5.3224 5.3224 Å, 60.00 60.00 60.00°
Sites, in units of the cell vectors:
Tl: 0.0000 0.0000 0.0000
Tm: 0.7500 0.7500 0.7500
Hg: 0.5000 0.5000 0.5000
Pu: 0.2500 0.2500 0.2500



DFT (GGA-PBE) results for crystalline TmPuHg4 at its relaxed geometry.

Summary:
The value obtained for the total energy is -3.588 eV per atom. The space group is No. 47. The size of the total moment is 5.786 μB per formula unit. As for the formation enthalpy at 0 K: -252.7 meV/atom.

Cell: 3.2800 5.0212 8.7662 Å, 90.00 90.01 90.00°
Sites, in units of the cell vectors:
Tm: 0.5000 0.5000 0.5000
Pu: 0.5000 0.0000 0.0000
Hg: 0.0007 0.0000 0.6628
Hg: 0.0005 0.5000 0.8297
Hg: 0.9993 0.0000 0.3372
Hg: 0.9995 0.5000 0.1703



DFT (GGA-PBE) results for crystalline Tm2PuHg3 at its relaxed geometry.

Summary:
The value obtained for the total energy is -4.383 eV per atom. The space group is No. 123. The size of the total moment is 5.902 μB per formula unit. As for the formation enthalpy at 0 K: -353.2 meV/atom.

Cell: 3.6683 3.6683 11.3019 Å, 90.00 90.00 90.00°
Sites, in units of the cell vectors:
Tm: 0.5000 0.5000 0.8378
Tm: 0.5000 0.5000 0.1622
Pu: 0.5000 0.5000 0.5000
Hg: 0.0000 0.0000 0.0000
Hg: 0.0000 0.0000 0.6823
Hg: 0.0000 0.0000 0.3177



size of the total moment of number 3 (TmPuHg4)? 5.786 μB per formula unit



What is the total energy in the fourth record? -4.383 eV per atom



Among the records above, which one has the highest total energy? TmPuHg4